1.
## CuPd4Rh (PBE-GGA)

Data for crystalline CuPd4Rh at its relaxed geometry.

Cell: 8.7019 5.3302 5.3302 Å, 119.15 62.91 117.09°
With the nearest neighbours (Å) after each atom.
Fractional positions:
Pd1 0.6859 0.0949 0.4062  2 Cu 2.67-2.69, 2 Rh 2.68-2.69, 7 Pd 2.69-2.85
Pd2 0.3141 0.9078 0.5910  2 Cu 2.67-2.69, 2 Rh 2.68-2.69, 7 Pd 2.69-2.85
Pd3 0.1859 0.3422 0.6590  2 Cu 2.67-2.69, 2 Rh 2.68-2.69, 7 Pd 2.69-2.85
Cu1 0.5000 0.2500 0.2500  8 Pd 2.67-2.69, 2 Rh 2.70
Pd4 0.8141 0.1551 0.8438  2 Cu 2.67-2.69, 2 Rh 2.68-2.69, 7 Pd 2.69-2.85
Pd5 0.8141 0.6590 0.3422  2 Cu 2.67-2.69, 2 Rh 2.68-2.69, 7 Pd 2.69-2.85
Rh1 0.0000 0.5000 0.5000  8 Pd 2.68-2.69, 2 Cu 2.70
Rh2 0.5000 0.7500 0.7500  8 Pd 2.68-2.69, 2 Cu 2.70
Cu2 0.0000 0.0000 0.0000  8 Pd 2.67-2.69, 2 Rh 2.70
Pd6 0.3141 0.4062 0.0949  2 Cu 2.67-2.69, 2 Rh 2.68-2.69, 7 Pd 2.69-2.85
Pd7 0.1859 0.8438 0.1551  2 Cu 2.67-2.69, 2 Rh 2.68-2.69, 7 Pd 2.69-2.85
Pd8 0.6859 0.5910 0.9078  2 Cu 2.67-2.69, 2 Rh 2.68-2.69, 7 Pd 2.69-2.85

Calculated values
Spin magnetization, μB per formula unit: 0.0
Symmetry: No. 70
DOS at the Fermi energy, states/eV per cell: 18.95
V, Å³/cell: 183.3
ΔH_f (0 K), eV per formula unit: 0.846

=====

2.
## CsFeP (PBE-GGA)

Data for crystalline CsFeP at its relaxed geometry.

Cell: 6.9534 4.0854 7.4899 Å, 66.41 110.20 99.07°
With the nearest neighbours (Å) after each atom.
Fractional positions:
Cs1 0.3656 0.5590 0.1203  4 Fe 3.70-3.92, 6 P 3.83-3.92, 2 Cs 4.09
Cs2 0.9927 0.1867 0.4935  4 Fe 3.70-3.92, 6 P 3.83-3.93, 2 Cs 4.09
Fe1 0.5924 0.1675 0.7200  3 P 2.19-2.20
P1 0.4940 0.7124 0.6215  3 Fe 2.19-2.20
P2 0.8642 0.0353 0.9921  3 Fe 2.19
Fe2 0.7658 0.5802 0.8936  3 P 2.19

Calculated values
Spin magnetization, μB per formula unit: 1.4
Symmetry: No. 8
DOS at the Fermi energy, states/eV per cell: 4.00
V, Å³/cell: 182.9
ΔH_f (0 K), eV per formula unit: -0.575

=====

3.
## Li2PSO3 (PBE-GGA)

Data for crystalline Li2PSO3 at its relaxed geometry.

Cell: 6.5627 6.5627 6.5627 Å, 52.03 52.03 52.03°
With the nearest neighbours (Å) after each atom.
Fractional positions:
Li1 0.0000 0.0000 0.5000  4 O 2.16
O1 0.2737 0.7248 0.7248  1 P 1.55
O2 0.2752 0.2752 0.7263  1 P 1.55
P1 0.5980 0.5980 0.5980  3 O 1.55
P2 0.4019 0.4019 0.4019  3 O 1.55
O3 0.7248 0.2737 0.7248  1 P 1.55
O4 0.7263 0.2752 0.2752  1 P 1.55
O5 0.2752 0.7263 0.2752  1 P 1.55
S1 0.7210 0.7210 0.7210  1 P 2.09
Li2 0.0000 0.0000 0.0000  6 O 2.40
S2 0.2790 0.2790 0.2790  1 P 2.09
O6 0.7248 0.7248 0.2737  1 P 1.55
Li3 0.5000 0.0000 0.0000  4 O 2.16
Li4 0.0000 0.5000 0.0000  4 O 2.16

Calculated values
Spin magnetization, μB per formula unit: 1.0
ΔE_f (raw), eV/atom: -1.599
Symmetry: No. 166
DOS at the Fermi energy, states/eV per cell: 3.72
V, Å³/cell: 162.4

=====

4.
## AlHg (PBE-GGA)

Data for crystalline AlHg at its relaxed geometry.

Cell: 6.2742 6.2742 7.9827 Å, 58.82 58.82 29.20°
With the nearest neighbours (Å) after each atom.
Fractional positions:
Hg1 0.2003 0.2003 0.1896  3 Al 2.85-3.12, 5 Hg 3.03-3.16
Al1 0.1374 0.1374 0.6230  6 Al 2.83-3.16, 3 Hg 2.99-3.12
Hg2 0.7997 0.7997 0.8104  3 Al 2.85-3.12, 5 Hg 3.03-3.16
Al2 0.8626 0.8626 0.3770  6 Al 2.83-3.16, 3 Hg 2.99-3.12
Hg3 0.5000 0.5000 0.0000  4 Al 2.99, 4 Hg 3.11-3.16
Al3 0.5000 0.5000 0.5000  6 Al 2.83-3.16, 4 Hg 2.85

Calculated values
Spin magnetization, μB per formula unit: 0.0
Symmetry: No. 12
DOS at the Fermi energy, states/eV per cell: 1.45
V, Å³/cell: 129.5
ΔH_f (0 K), eV per formula unit: 0.278

=====

> What is the formula in the third record?

Li2PSO3